No. 1
A geometry-optimized GaRu3N structure. Source: the Alexandria database, functional PBE.

a = 4.0571 Å, b = 4.0571 Å, c = 4.0571 Å
α = 90.00°, β = 90.00°, γ = 90.00°
Sites, in units of the cell vectors:
Ga1 0.0000 0.0000 0.0000
Ru1 0.0000 0.5000 0.5000
Ru2 0.5000 0.0000 0.5000
Ru3 0.5000 0.5000 0.0000
N1 0.5000 0.5000 0.5000

Density of states at the Fermi level, states/eV/f.u.: 2.71
Energy above the most stable polymorph in this dataset, eV per atom: 0.0000
SG: Pm-3m (221)
ρ, g/cm3: 9.622

***

No. 2
A geometry-optimized Ga2RuN structure. Source: the Alexandria database, functional PBE.

a = 6.2441 Å, b = 6.2441 Å, c = 5.3404 Å
α = 90.00°, β = 90.00°, γ = 90.00°
Sites, in units of the cell vectors:
Ga1 0.1791 0.2500 0.1250
Ga2 0.2500 0.6791 0.3750
Ga3 0.2500 0.8209 0.8750
Ga4 0.3209 0.2500 0.6250
Ga5 0.6791 0.7500 0.6250
Ga6 0.7500 0.1791 0.8750
Ga7 0.7500 0.3209 0.3750
Ga8 0.8209 0.7500 0.1250
Ru1 0.0000 0.0000 0.5000
Ru2 0.0000 0.5000 0.7500
Ru3 0.5000 0.0000 0.2500
Ru4 0.5000 0.5000 0.0000
N1 0.0000 0.0000 0.0000
N2 0.0000 0.5000 0.2500
N3 0.5000 0.0000 0.7500
N4 0.5000 0.5000 0.5000

Density of states at the Fermi level, states/eV/f.u.: 2.15
E, eV per atom: -5.62
SG: I-42d (122)
ρ, g/cm3: 8.119

***

No. 3
A geometry-optimized GaRu3N structure. Source: the Alexandria database, functional PBE.

a = 4.6431 Å, b = 4.6431 Å, c = 4.6431 Å
α = 90.00°, β = 90.00°, γ = 90.00°
Sites, in units of the cell vectors:
Ga1 0.0000 0.0000 0.0000
Ru1 0.0000 0.0000 0.5000
Ru2 0.0000 0.5000 0.0000
Ru3 0.5000 0.0000 0.0000
N1 0.5000 0.5000 0.5000

Density of states at the Fermi level, states/eV/f.u.: 6.01
Energy above the most stable polymorph in this dataset, eV per atom: 2.5407
SG: Pm-3m (221)
ρ, g/cm3: 6.419

***

No. 4
A geometry-optimized GaRuSN2 structure. Source: the Alexandria database, functional PBE.

a = 3.7127 Å, b = 3.7127 Å, c = 5.3073 Å
α = 90.00°, β = 90.00°, γ = 90.00°
Sites, in units of the cell vectors:
Ga1 0.0000 0.0000 0.0000
Ru1 0.5000 0.5000 0.5000
S1 0.0000 0.0000 0.5000
N1 0.0000 0.5000 0.0000
N2 0.5000 0.0000 0.0000

Density of states at the Fermi level, states/eV/f.u.: 4.88
Energy above the most stable polymorph in this dataset, eV per atom: 0.9193
SG: P4/mmm (123)
ρ, g/cm3: 5.240

***

No. 5
A geometry-optimized GaRuSN2 structure. Source: the Alexandria database, functional PBE.

a = 3.7886 Å, b = 3.7886 Å, c = 5.1815 Å
α = 90.00°, β = 90.00°, γ = 90.00°
Sites, in units of the cell vectors:
Ga1 0.0000 0.0000 0.0000
Ru1 0.5000 0.5000 0.5000
S1 0.5000 0.5000 0.0000
N1 0.0000 0.5000 0.5000
N2 0.5000 0.0000 0.5000

Density of states at the Fermi level, states/eV/f.u.: 2.95
Energy above the most stable polymorph in this dataset, eV per atom: 0.0000
SG: P4/mmm (123)
ρ, g/cm3: 5.155

***

No. 6
A geometry-optimized GaRuSeN2 structure. Source: the Alexandria database, functional PBE.

a = 3.8558 Å, b = 3.8558 Å, c = 6.0181 Å
α = 90.00°, β = 90.00°, γ = 90.00°
Sites, in units of the cell vectors:
Ga1 0.0000 0.0000 0.0000
Ru1 0.5000 0.5000 0.5000
Se1 0.5000 0.5000 0.0000
N1 0.0000 0.5000 0.5000
N2 0.5000 0.0000 0.5000

Density of states at the Fermi level, states/eV/f.u.: 3.21
Energy above the most stable polymorph in this dataset, eV per atom: 0.0000
SG: P4/mmm (123)
ρ, g/cm3: 5.155

***

No. 7
A geometry-optimized GaRuSeN2 structure. Source: the Alexandria database, functional PBE.

a = 3.7674 Å, b = 3.7674 Å, c = 5.6146 Å
α = 90.00°, β = 90.00°, γ = 90.00°
Sites, in units of the cell vectors:
Ga1 0.0000 0.0000 0.0000
Ru1 0.5000 0.5000 0.5000
Se1 0.0000 0.0000 0.5000
N1 0.0000 0.5000 0.0000
N2 0.5000 0.0000 0.0000

Density of states at the Fermi level, states/eV/f.u.: 5.96
Energy above the most stable polymorph in this dataset, eV per atom: 0.8727
SG: P4/mmm (123)
ρ, g/cm3: 5.788

***

No. 8
A geometry-optimized Sr2GaRuN structure. Source: the Alexandria database, functional PBE.

a = 5.4138 Å, b = 5.4138 Å, c = 3.8305 Å
α = 90.00°, β = 90.00°, γ = 90.00°
Sites, in units of the cell vectors:
Sr1 0.0000 0.5000 0.0000
Sr2 0.5000 0.0000 0.0000
Ga1 0.0000 0.0000 0.5000
Ru1 0.5000 0.5000 0.5000
N1 0.5000 0.5000 0.0000

Density of states at the Fermi level, states/eV/f.u.: 2.73
E, eV per atom: -5.17
SG: P4/mmm (123)
ρ, g/cm3: 5.325

***

No. 9
A geometry-optimized GaTe2RuN structure. Source: the Alexandria database, functional PBE.

a = 5.7356 Å, b = 5.7356 Å, c = 3.6689 Å
α = 90.00°, β = 90.00°, γ = 90.00°
Sites, in units of the cell vectors:
Ga1 0.0000 0.0000 0.0000
Te1 0.0000 0.5000 0.5000
Te2 0.5000 0.0000 0.5000
Ru1 0.5000 0.5000 0.5000
N1 0.5000 0.5000 0.0000

Density of states at the Fermi level, states/eV/f.u.: 3.34
Energy above the most stable polymorph in this dataset, eV per atom: 0.0000
SG: P4/mmm (123)
ρ, g/cm3: 6.053

***

No. 10
A geometry-optimized GaTe2RuN structure. Source: the Alexandria database, functional PBE.

a = 5.4855 Å, b = 5.4855 Å, c = 3.5008 Å
α = 90.00°, β = 90.00°, γ = 90.00°
Sites, in units of the cell vectors:
Ga1 0.0000 0.0000 0.0000
Te1 0.0000 0.5000 0.0000
Te2 0.5000 0.0000 0.0000
Ru1 0.5000 0.5000 0.5000
N1 0.0000 0.0000 0.5000

Density of states at the Fermi level, states/eV/f.u.: 6.77
Energy above the most stable polymorph in this dataset, eV per atom: 0.8206
SG: P4/mmm (123)
ρ, g/cm3: 6.936

***

No. 11
A geometry-optimized TlGa2RuN structure. Source: the Alexandria database, functional PBE.

a = 5.3677 Å, b = 5.3677 Å, c = 4.0866 Å
α = 90.00°, β = 90.00°, γ = 90.00°
Sites, in units of the cell vectors:
Tl1 0.0000 0.0000 0.0000
Ga1 0.0000 0.5000 0.0000
Ga2 0.5000 0.0000 0.0000
Ru1 0.5000 0.5000 0.5000
N1 0.0000 0.0000 0.5000

Density of states at the Fermi level, states/eV/f.u.: 4.96
E, eV per atom: -3.35
SG: P4/mmm (123)
ρ, g/cm3: 6.472

***

No. 12
A geometry-optimized GaSN structure. Source: the Alexandria database, functional PBE.

a = 3.1064 Å, b = 3.4727 Å, c = 11.9333 Å
α = 85.60°, β = 83.14°, γ = 63.46°
Sites, in units of the cell vectors:
Ga1 0.1154 0.1908 0.0859
Ga2 0.8846 0.8092 0.9141
S1 0.4986 0.7740 0.7034
S2 0.5014 0.2260 0.2966
N1 0.3287 0.1797 0.6320
N2 0.6713 0.8203 0.3680

Density of states at the Fermi level, states/eV/f.u.: 0.96
Energy above the most stable polymorph in this dataset, eV per atom: 0.8887
SG: P-1 (2)
ρ, g/cm3: 3.365

***

No. 13
A geometry-optimized GaSN structure. Source: the Alexandria database, functional PBE.

a = 9.1259 Å, b = 6.5217 Å, c = 6.5204 Å
α = 90.00°, β = 110.70°, γ = 90.00°
Sites, in units of the cell vectors:
Ga1 0.0001 0.2500 0.0001
Ga2 0.0001 0.2500 0.5001
Ga3 0.9999 0.7500 0.9999
Ga4 0.9999 0.7500 0.4999
S1 0.1160 0.9999 0.3074
S2 0.1160 0.5001 0.8074
S3 0.8840 0.0001 0.6926
S4 0.8840 0.4999 0.1926
N1 0.4992 0.0623 0.9412
N2 0.4992 0.4377 0.4412
N3 0.5008 0.5623 0.5588
N4 0.5008 0.9377 0.0588

Density of states at the Fermi level, states/eV/f.u.: 1.06
Energy above the most stable polymorph in this dataset, eV per atom: 0.0000
SG: P2_1/c (14)
ρ, g/cm3: 2.119

***

No. 14
A geometry-optimized GaS2N2 structure. Source: the Alexandria database, functional PBE.

a = 4.8692 Å, b = 4.8692 Å, c = 3.7952 Å
α = 90.00°, β = 90.00°, γ = 90.00°
Sites, in units of the cell vectors:
Ga1 0.0000 0.0000 0.0000
S1 0.0000 0.5000 0.0000
S2 0.5000 0.0000 0.0000
N1 0.0000 0.0000 0.5000
N2 0.5000 0.5000 0.5000

Density of states at the Fermi level, states/eV/f.u.: 4.52
Energy above the most stable polymorph in this dataset, eV per atom: 0.8077
SG: P4/mmm (123)
ρ, g/cm3: 2.987